[1]
{
  "formula": "NdDyMg4",
  "functional": "GGA-PBE",
  "state": "optimized geometry",
  "lattice_angstrom": [[-0.1971, 3.3237, -0.9365], [-6.6734, 1.9080, 1.7890], [7.0199, 3.2921, 3.8197]],
  "species": ["Nd", "Dy", "Mg", "Mg", "Mg", "Mg"],
  "fractional_positions": [[0.0000, 0.0000, 0.0000], [0.5000, 0.5000, 0.5000], [0.8432, 0.4792, 0.8343], [0.3330, 0.9919, 0.3420], [0.1568, 0.5208, 0.1657], [0.6670, 0.0081, 0.6580]],
  "formation_enthalpy_0k_ev_per_atom": -0.05
}

---

[2]
{
  "formula": "NdDy6Mg",
  "functional": "GGA-PBE",
  "state": "optimized geometry",
  "lattice_angstrom": [[6.4480, -0.2836, -1.2877], [-2.6621, 5.8797, -1.2877], [-1.9238, -2.8437, 8.1369]],
  "species": ["Nd", "Dy", "Dy", "Dy", "Dy", "Dy", "Dy", "Mg"],
  "fractional_positions": [[0.0000, 0.0000, 0.0000], [0.3314, 0.3314, 0.7388], [0.7267, 0.1839, 0.2691], [0.6686, 0.6686, 0.2612], [0.8161, 0.2733, 0.7309], [0.2733, 0.8161, 0.7309], [0.1839, 0.7267, 0.2691], [0.5000, 0.5000, 0.5000]],
  "formation_enthalpy_0k_ev_per_atom": 0.17
}

---

[3]
{
  "formula": "Nd6DyMg2",
  "functional": "GGA-PBE",
  "state": "optimized geometry",
  "lattice_angstrom": [[5.1781, -0.2980, -0.2885], [0.7662, 11.0207, 2.4365], [0.7662, 2.7923, 10.9359]],
  "species": ["Nd", "Nd", "Nd", "Nd", "Nd", "Nd", "Nd", "Nd", "Nd", "Nd", "Nd", "Nd", "Dy", "Dy", "Mg", "Mg", "Mg", "Mg"],
  "fractional_positions": [[0.2502, 0.7092, 0.4884], [0.2498, 0.5116, 0.2908], [0.7498, 0.2908, 0.5116], [0.7502, 0.4884, 0.7092], [0.7504, 0.9840, 0.3862], [0.7496, 0.6138, 0.0160], [0.2496, 0.0160, 0.6138], [0.2504, 0.3862, 0.9840], [0.2497, 0.8267, 0.9996], [0.2503, 0.0004, 0.1733], [0.7503, 0.1733, 0.0004], [0.7497, 0.9996, 0.8267], [0.2500, 0.2447, 0.7553], [0.7500, 0.7553, 0.2447], [0.2492, 0.6887, 0.7923], [0.2508, 0.2077, 0.3113], [0.7508, 0.3113, 0.2077], [0.7492, 0.7923, 0.6887]],
  "formation_enthalpy_0k_ev_per_atom": 0.09
}